1.
# AlZnCrCo

AlZnCrCo after structural relaxation (PBE, the Alexandria database).

Summary:
**Energy**: -22.140 eV per formula unit
**Calculated formation energy**: -0.099 eV/atom

Cell lengths 5.900, 5.900, 5.900 Å; angles 90.00, 90.00, 90.00 degrees
Space group F-43m (No. 216)
Symmetry-distinct sites (fractional):
Al 0.000 0.000 0.000 x4
Zn 0.000 0.000 0.500 x4
Cr 0.250 0.250 0.250 x4
Co 0.250 0.250 0.750 x4

2.
# CsAl3Co

CsAl3Co after structural relaxation (PBE, the Alexandria database).

Summary:
**Energy**: -18.712 eV per formula unit
**Calculated formation energy**: 0.095 eV/atom

Cell lengths 4.767, 4.767, 4.767 Å; angles 90.00, 90.00, 90.00 degrees
Space group Pm-3m (No. 221)
Symmetry-distinct sites (fractional):
Cs 0.000 0.000 0.000 x1
Al 0.000 0.500 0.500 x3
Co 0.500 0.500 0.500 x1

3.
# Cs3AlCo

Cs3AlCo after structural relaxation (PBE, the Alexandria database).

Summary:
**Energy**: -8.171 eV per formula unit
**Calculated formation energy**: 1.048 eV/atom

Cell lengths 7.205, 7.205, 7.205 Å; angles 90.00, 90.00, 90.00 degrees
Space group Pm-3m (No. 221)
Symmetry-distinct sites (fractional):
Cs 0.000 0.000 0.500 x3
Al 0.000 0.000 0.000 x1
Co 0.500 0.500 0.500 x1